No. 1
Computed, not measured: a geometry-optimized KCo2Ir structure at the PBE level of DFT.

Spin magnetization ... 3.8 μB/f.u.
Polymorph energy (0 for the lowest one) ... 0.354 eV/atom
Formation enthalpy at 0 K ... 931 meV/atom

Lattice parameters (Å, degrees): 2.599 5.447 10.409 90.00 90.00 90.00
Space group Immm (No. 71)
Inequivalent atoms, fractional coordinates:
K: 0.000 0.000 0.000 [2 per cell]
Co: 0.000 0.500 0.204 [4 per cell]
Ir: 0.000 0.000 0.500 [2 per cell]

---

No. 2
Computed, not measured: a geometry-optimized Ti2Tl2Br7 structure at the PBE level of DFT.

Spin magnetization ... 1.0 μB/f.u.
Formation energy from raw total energies ... -0.948 eV/atom
Polymorph energy (0 for the lowest one) ... 0.000 eV/atom

Lattice parameters (Å, degrees): 7.892 14.765 7.458 90.00 102.45 90.00
Space group C2/m (No. 12)
Inequivalent atoms, fractional coordinates:
Ti: 0.182 0.000 0.084 [4 per cell]
Tl: 0.000 0.204 0.500 [4 per cell]
Br: 0.000 0.500 0.000 [2 per cell]
Br: 0.071 0.000 0.746 [4 per cell]
Br: 0.250 0.158 0.211 [8 per cell]

---

No. 3
Computed, not measured: a geometry-optimized SrIn2W structure at the PBE level of DFT.

Spin magnetization ... 3.2 μB/f.u.
Polymorph energy (0 for the lowest one) ... 0.531 eV/atom
Formation enthalpy at 0 K ... 894 meV/atom

Lattice parameters (Å, degrees): 7.430 7.430 7.430 90.00 90.00 90.00
Space group F-43m (No. 216)
Inequivalent atoms, fractional coordinates:
Sr: 0.000 0.000 0.000 [4 per cell]
In: 0.000 0.000 0.500 [4 per cell]
In: 0.250 0.250 0.750 [4 per cell]
W: 0.250 0.250 0.250 [4 per cell]

---

No. 4
Computed, not measured: a geometry-optimized KCuCl3 structure at the PBE level of DFT.

Spin magnetization ... 1.0 μB/f.u.
Formation energy from raw total energies ... 0.023 eV/atom

Lattice parameters (Å, degrees): 5.932 5.932 5.932 90.00 90.00 90.00
Space group Pm-3m (No. 221)
Inequivalent atoms, fractional coordinates:
K: 0.000 0.000 0.000 [1 per cell]
Cu: 0.500 0.500 0.500 [1 per cell]
Cl: 0.000 0.000 0.500 [3 per cell]